Entry one
Fe2ReAu: relaxed, PBE-GGA.

Values from the calculation:
density of states at the Fermi level = 3.83 states/eV/f.u.
SG = Pmm2, No. 25
magnetization = 3.98 μB per formula unit

abc: 2.7152 3.6607 5.6685
angles: 90.00 90.00 90.00
With the nearest neighbours (Å) after each atom.
Atoms (fractional coordinates):
Au1 0.5000 0.5000 0.7629  2 Au 2.72, 6 Fe 2.74-2.90, 4 Re 2.87
Fe1 0.0000 0.0000 0.0303  1 Re 2.41, 4 Fe 2.60
Fe2 0.5000 0.5000 0.2515  4 Re 2.56, 6 Fe 2.60-2.72, 1 Au 2.77
Re1 0.0000 0.0000 0.4553  5 Fe 2.41-2.56

---

Entry two
Fe2ReAu: relaxed, PBE-GGA.

Values from the calculation:
density of states at the Fermi level = 4.65 states/eV/f.u.
SG = P4mm, No. 99
magnetization = 4.64 μB per formula unit

abc: 2.7928 2.7928 7.2149
angles: 90.00 90.00 90.00
With the nearest neighbours (Å) after each atom.
Atoms (fractional coordinates):
Au1 0.5000 0.5000 0.7623  4 Fe 2.79, 4 Au 2.79, 4 Re 2.94
Fe1 0.0000 0.0000 0.0346  4 Fe 2.48
Fe2 0.5000 0.5000 0.2424  4 Fe 2.48, 4 Re 2.53
Re1 0.0000 0.0000 0.4608  4 Fe 2.53, 4 Re 2.79

---

Entry three
Fe2ReAu: relaxed, PBE-GGA.

Values from the calculation:
density of states at the Fermi level = 3.28 states/eV/f.u.
SG = Imm2, No. 44
magnetization = 4.35 μB per formula unit

abc: 5.0971 5.0971 5.0971
angles: 146.44 129.67 61.86
With the nearest neighbours (Å) after each atom.
Atoms (fractional coordinates):
Au1 0.2392 0.7392 0.5000  6 Fe 2.63-2.70, 4 Re 2.86-2.90
Fe1 0.9797 0.9797 0.0000  2 Fe 2.41, 4 Re 2.64
Fe2 0.7613 0.2613 0.5000  2 Fe 2.41, 2 Re 2.57, 4 Au 2.63
Re1 0.5198 0.5198 0.0000  6 Fe 2.57-2.64, 2 Au 2.86

---

Stability summary: most stable entry two, least stable entry three.

---

Entry one
FeReAu: relaxed, PBE-GGA.

Values from the calculation:
density of states at the Fermi level = 3.10 states/eV/f.u.
SG = I4mm, No. 107
magnetization = 1.12 μB per formula unit

abc: 6.0190 6.0190 6.0190
angles: 153.29 153.29 38.13
With the nearest neighbours (Å) after each atom.
Atoms (fractional coordinates):
Au1 0.9947 0.9947 0.0000  4 Au 2.78, 4 Fe 2.80, 4 Re 2.93
Fe1 0.3192 0.3192 0.0000  4 Re 2.48
Re1 0.6861 0.6861 0.0000  4 Fe 2.48

---

Entry two
FeReAu: relaxed, PBE-GGA.

Values from the calculation:
density of states at the Fermi level = 2.62 states/eV/f.u.
SG = Fmm2, No. 42
magnetization = 2.60 μB per formula unit

abc: 7.0558 6.8751 2.6948
angles: 82.64 75.10 22.26
With the nearest neighbours (Å) after each atom.
Atoms (fractional coordinates):
Au1 0.9942 0.9942 0.0058  4 Au 2.69, 2 Fe 2.73, 2 Re 2.92
Fe1 0.3264 0.3264 0.6736  2 Re 2.50, 4 Fe 2.69, 2 Au 2.73
Re1 0.6793 0.6793 0.3207  2 Fe 2.50, 4 Re 2.69

---

Stability summary: most stable entry one, least stable entry two.

---

Entry one
FeReAu: relaxed, PBE-GGA.

Values from the calculation:
density of states at the Fermi level = 1.52 states/eV/f.u.
SG = F-43m, No. 216
magnetization = 1.73 μB per formula unit

abc: 4.1042 4.1042 4.1042
angles: 60.00 60.00 60.00
With the nearest neighbours (Å) after each atom.
Atoms (fractional coordinates):
Au1 0.5000 0.5000 0.5000  4 Fe 2.51
Fe1 0.7500 0.7500 0.7500  4 Re 2.51, 4 Au 2.51
Re1 0.0000 0.0000 0.0000  4 Fe 2.51

---

Entry two
FeReAu: relaxed, PBE-GGA.

Values from the calculation:
density of states at the Fermi level = 3.04 states/eV/f.u.
SG = P3m1, No. 156
magnetization = 1.77 μB per formula unit

abc: 2.7709 2.7709 6.7365
angles: 90.00 90.00 120.00
With the nearest neighbours (Å) after each atom.
Atoms (fractional coordinates):
Au1 0.0000 0.0000 0.0110  6 Au 2.77, 3 Fe 2.78, 3 Re 2.96
Fe1 0.6667 0.3333 0.3485  3 Re 2.54, 6 Fe 2.77, 3 Au 2.78
Re1 0.3333 0.6667 0.6405  3 Fe 2.54, 6 Re 2.77

---

Stability summary: most stable entry two, least stable entry one.

---

Entry one
FeRhAu2: relaxed, PBE-GGA.

Values from the calculation:
density of states at the Fermi level = 2.06 states/eV/f.u.
SG = Pm, No. 6
magnetization = 3.95 μB per formula unit

abc: 3.5492 2.9560 6.7528
angles: 63.87 90.00 90.00
With the nearest neighbours (Å) after each atom.
Atoms (fractional coordinates):
Rh1 0.5000 0.7795 0.7212  4 Fe 2.60-2.61, 5 Au 2.75-2.82
Au1 0.0000 0.0117 0.9883  1 Fe 2.82, 4 Rh 2.82, 6 Au 2.86-2.96
Au2 0.5000 0.2325 0.2670  1 Rh 2.75, 4 Fe 2.78-2.79, 6 Au 2.86-2.96
Fe1 0.0000 0.4763 0.5234  4 Rh 2.60-2.61, 5 Au 2.78-2.82

---

Entry two
FeRhAu2: relaxed, PBE-GGA.

Values from the calculation:
density of states at the Fermi level = 3.28 states/eV/f.u.
SG = Cm, No. 8
magnetization = 3.83 μB per formula unit

abc: 4.8538 4.8538 4.7497
angles: 75.75 75.75 35.98
With the nearest neighbours (Å) after each atom.
Atoms (fractional coordinates):
Au1 0.9962 0.9962 0.0046  4 Fe 2.76-2.87, 5 Au 2.78-3.00, 3 Rh 2.81-2.84
Au2 0.7595 0.7595 0.7423  3 Fe 2.76-2.88, 4 Rh 2.76-2.87, 5 Au 2.78-3.00
Fe1 0.5089 0.5089 0.4843  2 Rh 2.56, 6 Au 2.76-2.87
Rh1 0.2354 0.2354 0.2688  2 Fe 2.56, 5 Au 2.76-2.84

---

Entry three
FeRhAu2: relaxed, PBE-GGA.

Values from the calculation:
density of states at the Fermi level = 3.70 states/eV/f.u.
SG = Fm-3m, No. 225
magnetization = 3.27 μB per formula unit

abc: 4.4818 4.4818 4.4818
angles: 60.00 60.00 60.00
With the nearest neighbours (Å) after each atom.
Atoms (fractional coordinates):
Rh1 0.5000 0.5000 0.5000  8 Au 2.74
Au1 0.2500 0.2500 0.2500  4 Fe 2.74, 4 Rh 2.74
Au2 0.7500 0.7500 0.7500  4 Fe 2.74, 4 Rh 2.74
Fe1 0.0000 0.0000 0.0000  8 Au 2.74

---

Stability summary: most stable entry one, least stable entry three.

---

Entry one
Fe2RhAu2: relaxed, PBE-GGA.

Values from the calculation:
density of states at the Fermi level = 4.83 states/eV/f.u.
SG = P4/mbm, No. 127
magnetization = 7.03 μB per formula unit

abc: 6.4639 6.4639 3.7591
angles: 90.00 90.00 90.00
With the nearest neighbours (Å) after each atom.
Atoms (fractional coordinates):
Rh1 0.0000 0.0000 0.0000  4 Fe 2.55
Rh2 0.5000 0.5000 0.0000  4 Fe 2.55
Au1 0.1722 0.6722 0.5000  6 Fe 2.63-2.71
Au2 0.6722 0.8278 0.5000  6 Fe 2.63-2.71
Au3 0.8278 0.3278 0.5000  6 Fe 2.63-2.71
Au4 0.3278 0.1722 0.5000  6 Fe 2.63-2.71
Fe1 0.3727 0.8727 0.0000  1 Fe 2.33, 2 Rh 2.55
Fe2 0.8727 0.6273 0.0000  1 Fe 2.33, 2 Rh 2.55
Fe3 0.6273 0.1273 0.0000  1 Fe 2.33, 2 Rh 2.55
Fe4 0.1273 0.3727 0.0000  1 Fe 2.33, 2 Rh 2.55

---

Entry two
Fe2RhAu2: relaxed, PBE-GGA.

Values from the calculation:
density of states at the Fermi level = 5.00 states/eV/f.u.
SG = I4/mmm, No. 139
magnetization = 7.27 μB per formula unit

abc: 3.7471 3.7471 6.5712
angles: 73.43 73.43 90.00
With the nearest neighbours (Å) after each atom.
Atoms (fractional coordinates):
Rh1 0.0000 0.0000 0.0000  8 Fe 2.86
Au1 0.7500 0.2500 0.5000  4 Au 2.65, 4 Fe 2.68
Au2 0.2500 0.7500 0.5000  4 Au 2.65, 4 Fe 2.68
Fe1 0.4099 0.4099 0.1802  1 Fe 2.17
Fe2 0.5901 0.5901 0.8198  1 Fe 2.17

---

Stability summary: most stable entry one, least stable entry two.

---

Entry one
TlFe2RhAu: relaxed, PBE-GGA.

Values from the calculation:
density of states at the Fermi level = 5.38 states/eV/f.u.
SG = P4/mmm, No. 123
magnetization = 7.07 μB per formula unit

abc: 4.7700 5.1213 4.7700
angles: 90.00 90.00 90.00
With the nearest neighbours (Å) after each atom.
Atoms (fractional coordinates):
Rh1 0.5000 0.5000 0.5000  4 Tl 3.37, 8 Fe 3.50
Tl1 0.0000 0.5000 0.0000  2 Au 2.56
Au1 0.0000 0.0000 0.0000  4 Fe 2.39, 2 Tl 2.56
Fe1 0.0000 0.0000 0.5000  2 Au 2.39
Fe2 0.5000 0.0000 0.0000  2 Au 2.39

---

Entry two
TlFe2RhAu: relaxed, PBE-GGA.

Values from the calculation:
density of states at the Fermi level = 6.51 states/eV/f.u.
SG = P4/mmm, No. 123
magnetization = 7.45 μB per formula unit

abc: 4.6778 5.1447 4.6778
angles: 90.00 90.00 90.00
With the nearest neighbours (Å) after each atom.
Atoms (fractional coordinates):
Rh1 0.0000 0.0000 0.0000  4 Fe 2.34, 2 Tl 2.57
Tl1 0.0000 0.5000 0.0000  2 Rh 2.57
Au1 0.5000 0.5000 0.5000  4 Tl 3.31, 8 Fe 3.48
Fe1 0.0000 0.0000 0.5000  2 Rh 2.34
Fe2 0.5000 0.0000 0.0000  2 Rh 2.34

---

Stability summary: most stable entry two, least stable entry one.